No. 1
An optimized crystal structure of AlPt2W. Source: Alexandria via LeMat-Bulk, functional PBE.

Output
- ΔE_f (eV/f.u.) = 0.22
- SG = I-42d (122)
- raw total energy (eV/atom) = -7.1387
- calculated density (g/cm³) = 14.800

Cell: 3.8988 3.8988 9.2905 Å, 77.89 77.89 90.00°
Element x y z (fractional)
Pt 0.3750 0.3790 0.7500
Pt 0.1290 0.6250 0.2500
Al 0.2500 0.7500 0.5000
Al 0.5000 0.5000 0.0000
W 0.0000 0.0000 0.0000
Pt 0.8750 0.8710 0.7500
W 0.7500 0.2500 0.5000
Pt 0.6210 0.1250 0.2500

---

No. 2
An optimized crystal structure of Li2ReSi. Source: Alexandria via LeMat-Bulk, functional PBE.

Output
- ΔE_f (raw) (eV per atom) = 0.12
- SG = Pmmm (47)
- raw total energy (eV/atom) = -5.3043
- calculated density (g/cm³) = 6.745

Cell: 2.6038 4.4045 4.8979 Å, 90.00 90.00 90.00°
Element x y z (fractional)
Li 0.0000 0.0000 0.0087
Li 0.0000 0.0000 0.4913
Si 0.5000 0.5000 0.7500
Re 0.5000 0.5000 0.2500

---

No. 3
An optimized crystal structure of TlSn12Au7. Source: Alexandria via LeMat-Bulk, functional PBE.

Output
- ΔE_f (eV/f.u.) = -1.35
- SG = R-3 (148)
- raw total energy (eV/atom) = -3.7347
- calculated density (g/cm³) = 9.901

Cell: 7.6155 9.1066 9.1066 Å, 67.45 73.81 106.19°
Element x y z (fractional)
Au 0.1312 0.9314 0.3162
Au 0.4474 0.3162 0.7524
Sn 0.2139 0.5005 0.8122
Au 0.1998 0.7524 0.9314
Sn 0.2866 0.3127 0.4995
Au 0.5526 0.6838 0.2476
Sn 0.7134 0.6873 0.5005
Sn 0.8552 0.3723 0.7082
Sn 0.4829 0.9195 0.3723
Au 0.5000 0.0000 0.0000
Sn 0.5634 0.7082 0.9195
Sn 0.0261 0.8122 0.6873
Sn 0.4366 0.2918 0.0805
Sn 0.1448 0.6277 0.2918
Tl 0.0000 0.0000 0.0000
Au 0.8688 0.0686 0.6838
Au 0.8002 0.2476 0.0686
Sn 0.7861 0.4995 0.1878
Sn 0.9739 0.1878 0.3127
Sn 0.5171 0.0805 0.6277

---

No. 4
An optimized crystal structure of Ba2HgSe. Source: Alexandria via LeMat-Bulk, functional PBE.

Output
- ΔE_f (raw) (eV per atom) = -0.49
- SG = F-43m (216)
- raw total energy (eV/atom) = -2.3946
- energy relative to the lowest polymorph listed for this composition (eV/atom) = 0.660
- calculated density (g/cm³) = 6.797

Cell: 5.7637 5.7637 5.7637 Å, 60.00 60.00 60.00°
Element x y z (fractional)
Se 0.7500 0.7500 0.7500
Ba 0.2500 0.2500 0.2500
Ba 0.0000 0.0000 0.0000
Hg 0.5000 0.5000 0.5000